Material: Tl2VSnF6
Method: DFT, PBE with a Hubbard U
State: optimized geometry

Calculated values
raw total energy: -4.922 eV per atom
M_tot: 0.30 μB per atom

Unit cell a=6.2468 b=8.9588 c=6.5174 alpha=90.00 beta=90.00 gamma=90.00
Space group Pmmn (No. 59, origin choice 2)
Symmetry-distinct sites (fractional):
Tl  0.2500  0.0178  0.2309 x4
V  0.2500  0.7500  0.7728 x2
Sn  0.2500  0.2500  0.7310 x2
F  0.0007  0.7500  0.9992 x4
F  0.0053  0.7500  0.5495 x4
F  0.2500  0.5128  0.7879 x4